DFT (PBEsol) results for a geometry-optimized MgZrRu2 structure. Values from VASP.

Structure (Quantum ESPRESSO input):
```
&SYSTEM
  ibrav = 0, nat = 4, ntyp = 3
/
ATOMIC_SPECIES
Ru 101.07 Ru.upf
Mg 24.30 Mg.upf
Zr 91.22 Zr.upf
CELL_PARAMETERS angstrom
3.198 0.000 0.000
0.000 3.198 0.000
0.000 0.000 6.204
ATOMIC_POSITIONS angstrom
Ru 0.000 0.000 4.653
Ru 0.000 0.000 1.551
Mg 1.599 1.599 3.102
Zr 1.599 1.599 0.000
```

**E_tot**: -8.017 eV per atom
**Formation enthalpy at 0 K**: -0.2295 eV/atom
**Calculated volume**: 63 Å³/cell
**Fermi-level density of states**: 4.05 states/eV per cell